*P*
YTeIrI2 | PBE | optimized geometry

Properties
The calculation puts the magnetization at 2.6 μB/cell.

Cell: 5.8555 5.8555 6.0877 Å, 90.00 90.00 90.00°
Last column: nearest neighbours and their distance in Å.
Fractional positions:
Ir 0.5000 0.5000 0.5000  4 Te 4.14, 8 I 4.22
Y 0.0000 0.0000 0.0000  4 I 2.93, 2 Te 3.04
Te 0.0000 0.0000 0.5000  2 Y 3.04
I 0.0000 0.5000 0.0000  2 Y 2.93
I 0.5000 0.0000 0.0000  2 Y 2.93

*Q*
YTeIrI2 | PBE | optimized geometry

Properties
The calculation puts the magnetization at 0.0 μB/cell.

Cell: 5.3197 5.3197 5.3773 Å, 90.00 90.00 90.00°
Last column: nearest neighbours and their distance in Å.
Fractional positions:
Ir 0.0000 0.0000 0.0000  4 I 2.66, 2 Te 2.69
I 0.5000 0.0000 0.0000  2 Ir 2.66
I 0.0000 0.5000 0.0000  2 Ir 2.66
Y 0.5000 0.5000 0.5000  4 Te 3.76, 8 I 3.78
Te 0.0000 0.0000 0.5000  2 Ir 2.69

The relative energies come out as *P* 51.8; *Q* 0.0, with values in kJ/mol of atoms.

*P*
YTe2IrI | PBE | optimized geometry

Properties
The calculation puts the magnetization at 0.0 μB/cell.

Cell: 5.3402 5.3402 5.2266 Å, 90.00 90.00 90.00°
Last column: nearest neighbours and their distance in Å.
Fractional positions:
Ir 0.0000 0.0000 0.0000  2 I 2.61, 4 Te 2.67
Te 0.0000 0.5000 0.0000  2 Ir 2.67
Te 0.5000 0.0000 0.0000  2 Ir 2.67
Y 0.5000 0.5000 0.5000  8 Te 3.74, 4 I 3.78
I 0.0000 0.0000 0.5000  2 Ir 2.61

*Q*
YTe2IrI | PBE | optimized geometry

Properties
The calculation puts the magnetization at 3.1 μB/cell.

Cell: 5.8724 5.8724 5.8027 Å, 90.00 90.00 90.00°
Last column: nearest neighbours and their distance in Å.
Fractional positions:
Y 0.0000 0.0000 0.0000  2 I 2.90, 4 Te 2.94
Te 0.5000 0.0000 0.0000  2 Y 2.94
Te 0.0000 0.5000 0.0000  2 Y 2.94
I 0.0000 0.0000 0.5000  2 Y 2.90
Ir 0.5000 0.5000 0.5000  8 Te 4.13, 4 I 4.15

The relative energies come out as *P* 0.0; *Q* 78.6, with values in kJ/mol of atoms.

*P*
ZnTeIrI2 | PBE | optimized geometry

Properties
The calculation puts the magnetization at 0.0 μB/cell.

Cell: 5.6614 5.6614 5.0514 Å, 90.00 90.00 90.00°
Last column: nearest neighbours and their distance in Å.
Fractional positions:
Te 0.0000 0.0000 0.5000  2 Ir 2.53
I 0.5000 0.0000 0.0000  2 Ir 2.83
I 0.0000 0.5000 0.0000  2 Ir 2.83
Ir 0.0000 0.0000 0.0000  2 Te 2.53
Zn 0.5000 0.5000 0.5000  8 I 3.79, 4 Te 4.00

*Q*
ZnTeIrI2 | PBE | optimized geometry

Properties
The calculation puts the magnetization at 2.7 μB/cell.

Cell: 5.3350 5.3350 5.4135 Å, 90.00 90.00 90.00°
Last column: nearest neighbours and their distance in Å.
Fractional positions:
I 0.0000 0.5000 0.0000  2 Zn 2.67
I 0.5000 0.0000 0.0000  2 Zn 2.67
Zn 0.0000 0.0000 0.0000  4 I 2.67, 2 Te 2.71
Te 0.0000 0.0000 0.5000  2 Zn 2.71
Ir 0.5000 0.5000 0.5000  4 Te 3.77, 8 I 3.80

The relative energies come out as *P* 0.0; *Q* 73.9, with values in kJ/mol of atoms.

*P*
TiIr2I | PBE | optimized geometry

Properties
The calculation puts the magnetization at 0.0 μB/cell.

Cell: 5.6101 5.6101 7.3273 Å, 67.49 67.49 90.00°
Last column: nearest neighbours and their distance in Å.
Fractional positions:
Ti 0.5000 0.5000 0.0000  4 Ir 2.43
Ti 0.2500 0.7500 0.5000  4 Ir 2.43
Ir 0.1523 0.6250 0.2500  2 Ti 2.43, 2 I 2.60
Ir 0.8750 0.8477 0.7500  2 Ti 2.43, 2 I 2.60
Ir 0.5977 0.1250 0.2500  2 Ti 2.43, 2 I 2.60
Ir 0.3750 0.4023 0.7500  2 Ti 2.43, 2 I 2.60
I 0.0000 0.0000 0.0000  4 Ir 2.60
I 0.7500 0.2500 0.5000  4 Ir 2.60

*Q*
TiIr2I | PBE | optimized geometry

Properties
The calculation puts the magnetization at 0.0 μB/cell.

Cell: 4.6311 4.6311 4.6311 Å, 60.00 60.00 60.00°
Last column: nearest neighbours and their distance in Å.
Fractional positions:
I 0.5000 0.5000 0.5000  8 Ir 2.84
Ir 0.7500 0.7500 0.7500  4 Ti 2.84, 4 I 2.84
Ir 0.2500 0.2500 0.2500  4 I 2.84, 4 Ti 2.84
Ti 0.0000 0.0000 0.0000  8 Ir 2.84

The relative energies come out as *P* 1.9; *Q* 0.0, with values in kJ/mol of atoms.

*P*
TlIrI2 | PBE | optimized geometry

Properties
The calculation puts the magnetization at 2.1 μB/cell.

Cell: 5.4172 5.4172 5.4172 Å, 60.00 60.00 60.00°
Last column: nearest neighbours and their distance in Å.
Fractional positions:
Tl 0.5000 0.5000 0.5000  8 I 3.32
I 0.2500 0.2500 0.2500  4 Tl 3.32, 4 Ir 3.32
I 0.7500 0.7500 0.7500  4 Tl 3.32, 4 Ir 3.32
Ir 0.0000 0.0000 0.0000  8 I 3.32

*Q*
TlIrI2 | PBE | optimized geometry

Properties
The calculation puts the magnetization at 0.0 μB/cell.

Cell: 9.7713 9.7713 7.4378 Å, 48.94 48.94 90.00°
Last column: nearest neighbours and their distance in Å.
Fractional positions:
I 0.2676 0.6250 0.2500  2 Ir 2.75
I 0.8750 0.7324 0.7500  2 Ir 2.75
I 0.3750 0.5176 0.7500  2 Ir 2.75
I 0.4824 0.1250 0.2500  2 Ir 2.75
Tl 0.7500 0.2500 0.5000  2 Ir 2.75
Tl 0.0000 0.0000 0.0000  2 Ir 2.75
Ir 0.5000 0.5000 0.0000  4 I 2.75, 2 Tl 2.75
Ir 0.2500 0.7500 0.5000  4 I 2.75, 2 Tl 2.75

The relative energies come out as *P* 67.9; *Q* 0.0, with values in kJ/mol of atoms.

*P*
Tl2Ir2I | PBE | optimized geometry

Properties
The calculation puts the magnetization at 0.0 μB/cell.

Cell: 3.6086 3.6086 10.8743 Å, 80.45 80.45 90.00°
Last column: nearest neighbours and their distance in Å.
Fractional positions:
Tl 0.6249 0.6249 0.7501  4 Ir 3.20
Tl 0.3751 0.3751 0.2499  4 Ir 3.20
Ir 0.2500 0.7500 0.5000  4 Ir 2.55
Ir 0.7500 0.2500 0.5000  4 Ir 2.55
I 0.0000 0.0000 0.0000  4 I 3.61, 8 Tl 3.67

*Q*
Tl2Ir2I | PBE | optimized geometry

Properties
The calculation puts the magnetization at 2.5 μB/cell.

Cell: 9.0515 9.0515 2.9277 Å, 90.00 90.00 90.00°
Last column: nearest neighbours and their distance in Å.
Fractional positions:
Ir 0.4050 0.0950 0.5000  1 Ir 2.43
Ir 0.5950 0.9050 0.5000  1 Ir 2.43
Ir 0.0950 0.5950 0.5000  1 Ir 2.43
Ir 0.9050 0.4050 0.5000  1 Ir 2.43
Tl 0.1900 0.3100 0.0000  2 Tl 2.93, 6 Ir 3.09-3.12
Tl 0.6900 0.1900 0.0000  2 Tl 2.93, 6 Ir 3.09-3.12
Tl 0.3100 0.8100 0.0000  2 Tl 2.93, 6 Ir 3.09-3.12
Tl 0.8100 0.6900 0.0000  2 Tl 2.93, 6 Ir 3.09-3.12
I 0.5000 0.5000 0.0000  2 I 2.93
I 0.0000 0.0000 0.0000  2 I 2.93

The relative energies come out as *P* 0.0; *Q* 36.7, with values in kJ/mol of atoms.

*P*
Tl3IrI6 | PBE | optimized geometry

Properties
The calculation puts the magnetization at 0.0 μB/cell.

Cell: 7.8184 8.8714 14.4244 Å, 90.00 52.96 90.00°
Last column: nearest neighbours and their distance in Å.
Fractional positions:
I 0.2564 0.3425 0.5319  1 Ir 2.70
I 0.7436 0.6575 0.4681  1 Ir 2.70
I 0.0799 0.7441 0.0718  1 Ir 2.72
I 0.6585 0.4397 0.7201  1 Ir 2.70
I 0.0799 0.7559 0.5718  1 Ir 2.72
I 0.3415 0.5603 0.2799  1 Ir 2.70
I 0.9201 0.2441 0.4282  1 Ir 2.72
I 0.6585 0.0603 0.2201  1 Ir 2.70
I 0.2564 0.1575 0.0319  1 Ir 2.70
I 0.3415 0.9397 0.7799  1 Ir 2.70
I 0.7436 0.8425 0.9681  1 Ir 2.70
I 0.9201 0.2559 0.9282  1 Ir 2.72
Tl 0.7834 0.4201 0.2579  6 I 3.48-3.67
Tl 0.2166 0.5799 0.7422  6 I 3.48-3.67
Tl 0.5000 0.0000 0.5000  6 I 3.47-3.53
Tl 0.7834 0.0799 0.7578  6 I 3.48-3.67
Tl 0.2166 0.9201 0.2422  6 I 3.48-3.67
Tl 0.5000 0.5000 0.0000  6 I 3.47-3.53
Ir 0.0000 0.0000 0.0000  6 I 2.70-2.72
Ir 0.0000 0.5000 0.5000  6 I 2.70-2.72

*Q*
Tl3IrI6 | PBE | optimized geometry

Properties
The calculation puts the magnetization at 0.0 μB/cell.

Cell: 7.8630 7.8630 8.7299 Å, 111.12 111.12 101.53°
Last column: nearest neighbours and their distance in Å.
Fractional positions:
I 0.0596 0.0596 0.7366  1 Ir 2.68
I 0.9404 0.9404 0.2634  1 Ir 2.68
I 0.6770 0.6770 0.7366  1 Ir 2.68
I 0.2235 0.7765 0.0000  1 Ir 2.72
I 0.3230 0.3230 0.2634  1 Ir 2.68
I 0.7765 0.2235 0.0000  1 Ir 2.72
Tl 0.2500 0.7500 0.5000  4 I 3.54
Tl 0.5000 0.5000 0.0000  6 I 3.37-3.61
Tl 0.7500 0.2500 0.5000  4 I 3.54
Ir 0.0000 0.0000 0.0000  6 I 2.68-2.72

The relative energies come out as *P* 0.0; *Q* 4.5, with values in kJ/mol of atoms.

*P*
V2IrI2 | PBE | optimized geometry

Properties
The calculation puts the magnetization at 0.0 μB/cell.

Cell: 5.1905 5.1905 5.2823 Å, 60.57 60.57 90.00°
Last column: nearest neighbours and their distance in Å.
Fractional positions:
I 0.7500 0.2500 0.5000  4 V 2.76
I 0.2500 0.7500 0.5000  4 V 2.76
V 0.6253 0.6253 0.7494  1 V 1.90
V 0.3747 0.3747 0.2506  1 V 1.90
Ir 0.0000 0.0000 0.0000  2 V 2.85

*Q*
V2IrI2 | PBE | optimized geometry

Properties
The calculation puts the magnetization at 6.6 μB/cell.

Cell: 6.8617 6.8617 4.2903 Å, 90.00 90.00 90.00°
Last column: nearest neighbours and their distance in Å.
Fractional positions:
V 0.3577 0.8577 0.0000  2 Ir 2.64, 1 V 2.76, 2 I 2.82
V 0.6423 0.1423 0.0000  2 Ir 2.64, 1 V 2.76, 2 I 2.82
V 0.8577 0.6423 0.0000  2 Ir 2.64, 1 V 2.76, 2 I 2.82
V 0.1423 0.3577 0.0000  2 Ir 2.64, 1 V 2.76, 2 I 2.82
I 0.6687 0.8313 0.5000  6 V 2.82-3.03
I 0.8313 0.3313 0.5000  6 V 2.82-3.03
I 0.1687 0.6687 0.5000  6 V 2.82-3.03
I 0.3313 0.1687 0.5000  6 V 2.82-3.03
Ir 0.5000 0.5000 0.0000  4 V 2.64
Ir 0.0000 0.0000 0.0000  4 V 2.64

The relative energies come out as *P* 24.6; *Q* 0.0, with values in kJ/mol of atoms.

*P*
Ir3WI | PBE | optimized geometry

Properties
The calculation puts the magnetization at 0.0 μB/cell.

Cell: 4.7657 4.7657 4.7657 Å, 90.00 90.00 90.00°
Last column: nearest neighbours and their distance in Å.
Fractional positions:
I 0.0000 0.0000 0.0000  6 Ir 2.38
Ir 0.0000 0.0000 0.5000  2 I 2.38
Ir 0.5000 0.0000 0.0000  2 I 2.38
Ir 0.0000 0.5000 0.0000  2 I 2.38
W 0.5000 0.5000 0.5000  12 Ir 3.37

*Q*
Ir3WI | PBE | optimized geometry

Properties
The calculation puts the magnetization at 0.0 μB/cell.

Cell: 4.8233 4.8233 4.8233 Å, 90.00 90.00 90.00°
Last column: nearest neighbours and their distance in Å.
Fractional positions:
Ir 0.0000 0.0000 0.5000  2 W 2.41
Ir 0.0000 0.5000 0.0000  2 W 2.41
Ir 0.5000 0.0000 0.0000  2 W 2.41
I 0.5000 0.5000 0.5000  12 Ir 3.41
W 0.0000 0.0000 0.0000  6 Ir 2.41

The relative energies come out as *P* 86.9; *Q* 0.0, with values in kJ/mol of atoms.

*P*
IrWI3 | PBE | optimized geometry

Properties
The calculation puts the magnetization at 4.4 μB/cell.

Cell: 5.3784 5.3784 5.3784 Å, 90.00 90.00 90.00°
Last column: nearest neighbours and their distance in Å.
Fractional positions:
Ir 0.0000 0.0000 0.0000  6 I 2.69
I 0.0000 0.0000 0.5000  2 Ir 2.69
I 0.0000 0.5000 0.0000  2 Ir 2.69
I 0.5000 0.0000 0.0000  2 Ir 2.69
W 0.5000 0.5000 0.5000  12 I 3.80

*Q*
IrWI3 | PBE | optimized geometry

Properties
The calculation puts the magnetization at 0.1 μB/cell.

Cell: 5.3296 5.3296 5.3296 Å, 90.00 90.00 90.00°
Last column: nearest neighbours and their distance in Å.
Fractional positions:
I 0.5000 0.0000 0.0000  2 W 2.66
I 0.0000 0.0000 0.5000  2 W 2.66
I 0.0000 0.5000 0.0000  2 W 2.66
W 0.0000 0.0000 0.0000  6 I 2.66
Ir 0.5000 0.5000 0.5000  12 I 3.77

The relative energies come out as *P* 0.0; *Q* 22.6, with values in kJ/mol of atoms.

*P*
IrW2I | PBE | optimized geometry

Properties
The calculation puts the magnetization at 0.0 μB/cell.

Cell: 5.9003 5.9003 7.1913 Å, 65.78 65.78 90.00°
Last column: nearest neighbours and their distance in Å.
Fractional positions:
W 0.0858 0.6250 0.2500  2 Ir 2.42, 2 I 2.69
W 0.6642 0.1250 0.2500  2 Ir 2.42, 2 I 2.69
W 0.8750 0.9142 0.7500  2 Ir 2.42, 2 I 2.69
W 0.3750 0.3358 0.7500  2 Ir 2.42, 2 I 2.69
Ir 0.7500 0.2500 0.5000  4 W 2.42
Ir 0.0000 0.0000 0.0000  4 W 2.42
I 0.5000 0.5000 0.0000  4 W 2.69
I 0.2500 0.7500 0.5000  4 W 2.69

*Q*
IrW2I | PBE | optimized geometry

Properties
The calculation puts the magnetization at 0.0 μB/cell.

Cell: 4.5876 4.5876 4.5876 Å, 60.00 60.00 60.00°
Last column: nearest neighbours and their distance in Å.
Fractional positions:
Ir 0.5000 0.5000 0.5000  8 W 2.81
I 0.0000 0.0000 0.0000  8 W 2.81
W 0.2500 0.2500 0.2500  4 Ir 2.81, 4 I 2.81
W 0.7500 0.7500 0.7500  4 Ir 2.81, 4 I 2.81

The relative energies come out as *P* 40.0; *Q* 0.0, with values in kJ/mol of atoms.

*P*
YIr3I | PBE | optimized geometry

Properties
The calculation puts the magnetization at 0.0 μB/cell.

Cell: 4.8778 4.8778 4.8778 Å, 90.00 90.00 90.00°
Last column: nearest neighbours and their distance in Å.
Fractional positions:
Y 0.5000 0.5000 0.5000  12 Ir 3.45
I 0.0000 0.0000 0.0000  6 Ir 2.44
Ir 0.5000 0.0000 0.0000  2 I 2.44
Ir 0.0000 0.0000 0.5000  2 I 2.44
Ir 0.0000 0.5000 0.0000  2 I 2.44

*Q*
YIr3I | PBE | optimized geometry

Properties
The calculation puts the magnetization at 2.7 μB/cell.

Cell: 5.0898 5.0898 5.0898 Å, 90.00 90.00 90.00°
Last column: nearest neighbours and their distance in Å.
Fractional positions:
I 0.5000 0.5000 0.5000  12 Ir 3.60
Ir 0.0000 0.0000 0.5000  2 Y 2.54
Ir 0.0000 0.5000 0.0000  2 Y 2.54
Ir 0.5000 0.0000 0.0000  2 Y 2.54
Y 0.0000 0.0000 0.0000  6 Ir 2.54

The relative energies come out as *P* 0.0; *Q* 90.6, with values in kJ/mol of atoms.